DFT (GGA+U) results for a geometry-optimized Na2FeHgO4 structure.

Its total DFT energy (no corrections) is -4.600 eV/atom. Its space group is P2/m, No. 10. The density of states at the Fermi level is 0.33 states/eV/atom.

a = 3.1330 Å, b = 5.9665 Å, c = 5.9353 Å
α = 113.55°, β = 90.00°, γ = 90.00°
Closest atoms and distances in Å follow each position.
Fractional positions:
Na1 0.5000 0.0000 0.5000  4 O 2.46
Na2 0.0000 0.5000 0.5000  6 O 2.36-2.40
Fe1 0.5000 0.5000 0.0000  6 O 2.08-2.12
Hg1 0.0000 0.0000 0.0000  4 O 2.23
O1 0.5000 0.2732 0.1978  1 Fe 2.12, 2 Hg 2.23, 2 Na 2.36
O2 0.5000 0.7268 0.8022  1 Fe 2.12, 2 Hg 2.23, 2 Na 2.36
O3 0.0000 0.3009 0.7804  2 Fe 2.08
O4 0.0000 0.6991 0.2196  2 Fe 2.08